(1)
# GaCo2Si2, relaxed, DFT GGA-PBE
# Formation energy without anion corrections in eV per formula unit: -1.3
data_GaCo2Si2
_chemical_formula_sum 'Ga2 Co4 Si4'
_cell_length_a 3.431
_cell_length_b 3.431
_cell_length_c 11.041
_cell_angle_alpha 90.00
_cell_angle_beta 90.00
_cell_angle_gamma 90.00
_space_group_name_H-M_alt 'I 4/m m m'
_space_group_IT_number 139
_space_group_name_Hall '-I 4 2'
loop_
_atom_site_label
_atom_site_type_symbol
_atom_site_fract_x
_atom_site_fract_y
_atom_site_fract_z
_atom_site_occupancy
Ga1 Ga 0.000 0.000 0.000 1
Co1 Co 0.000 0.000 0.386 1
Si1 Si 0.000 0.500 0.250 1

***

(2)
# HoLuPuCd, relaxed, DFT GGA-PBE
# ΔH_f (0 K) in eV per atom: 0.08
data_HoLuPuCd
_chemical_formula_sum 'Ho4 Lu4 Pu4 Cd4'
_cell_length_a 7.566
_cell_length_b 7.566
_cell_length_c 7.566
_cell_angle_alpha 90.00
_cell_angle_beta 90.00
_cell_angle_gamma 90.00
_space_group_name_H-M_alt 'F -4 3 m'
_space_group_IT_number 216
_space_group_name_Hall 'F -4 2 3'
loop_
_atom_site_label
_atom_site_type_symbol
_atom_site_fract_x
_atom_site_fract_y
_atom_site_fract_z
_atom_site_occupancy
Ho1 Ho 0.000 0.000 0.000 1
Lu1 Lu 0.000 0.000 0.500 1
Pu1 Pu 0.250 0.250 0.750 1
Cd1 Cd 0.250 0.250 0.250 1

***

(3)
# LiMgTa, relaxed, DFT GGA-PBE
# ΔH_f (0 K) in eV per atom: 0.14
# Relative energy among the computed polymorphs in meV per atom: 55.2
data_LiMgTa
_chemical_formula_sum 'Li4 Mg4 Ta4'
_cell_length_a 4.766
_cell_length_b 3.321
_cell_length_c 14.745
_cell_angle_alpha 90.00
_cell_angle_beta 90.09
_cell_angle_gamma 90.00
_space_group_name_H-M_alt 'C 1 m 1'
_space_group_IT_number 8
_space_group_name_Hall 'C -2y'
loop_
_atom_site_label
_atom_site_type_symbol
_atom_site_fract_x
_atom_site_fract_y
_atom_site_fract_z
_atom_site_occupancy
Li1 Li 0.000 0.000 0.000 1
Li2 Li 0.007 0.000 0.342 1
Mg1 Mg 0.001 0.500 0.170 1
Mg2 Mg 0.004 0.500 0.830 1
Ta1 Ta 0.006 0.500 0.511 1
Ta2 Ta 0.007 0.000 0.659 1

***

(4)
# Re2PtCl, relaxed, DFT GGA-PBE
# Formation energy without anion corrections in eV per formula unit: 2.6
# Relative energy among the computed polymorphs in meV per atom: 427.1
data_Re2PtCl
_chemical_formula_sum 'Re4 Pt2 Cl2'
_cell_length_a 2.737
_cell_length_b 4.453
_cell_length_c 11.040
_cell_angle_alpha 90.00
_cell_angle_beta 90.00
_cell_angle_gamma 90.00
_space_group_name_H-M_alt 'I m m 2'
_space_group_IT_number 44
_space_group_name_Hall 'I 2 -2'
loop_
_atom_site_label
_atom_site_type_symbol
_atom_site_fract_x
_atom_site_fract_y
_atom_site_fract_z
_atom_site_occupancy
Re1 Re 0.000 0.000 0.000 1
Re2 Re 0.000 0.500 0.306 1
Pt1 Pt 0.000 0.000 0.565 1
Cl1 Cl 0.000 0.500 0.770 1

***

(5)
# PrTh5Sb6, relaxed, DFT GGA-PBE
# Formation energy without anion corrections in eV per formula unit: -11.5
data_PrTh5Sb6
_chemical_formula_sum 'Pr2 Th10 Sb12'
_cell_length_a 7.811
_cell_length_b 13.539
_cell_length_c 7.825
_cell_angle_alpha 90.00
_cell_angle_beta 109.46
_cell_angle_gamma 90.00
_space_group_name_H-M_alt 'C 1 2/m 1'
_space_group_IT_number 12
_space_group_name_Hall '-C 2y'
loop_
_atom_site_label
_atom_site_type_symbol
_atom_site_fract_x
_atom_site_fract_y
_atom_site_fract_z
_atom_site_occupancy
Pr1 Pr 0.000 0.000 0.000 1
Th1 Th 0.000 0.165 0.500 1
Th2 Th 0.000 0.333 0.000 1
Th3 Th 0.000 0.500 0.500 1
Sb1 Sb 0.248 0.500 0.250 1
Sb2 Sb 0.249 0.332 0.749 1

***

(6)
# CsZnAs2Se, relaxed, DFT GGA-PBE
# Formation energy without anion corrections in eV per formula unit: 0.8
data_CsZnAs2Se
_chemical_formula_sum 'Cs1 Zn1 As2 Se1'
_cell_length_a 5.053
_cell_length_b 5.053
_cell_length_c 5.404
_cell_angle_alpha 90.00
_cell_angle_beta 90.00
_cell_angle_gamma 90.00
_space_group_name_H-M_alt 'P 4/m m m'
_space_group_IT_number 123
_space_group_name_Hall '-P 4 2'
loop_
_atom_site_label
_atom_site_type_symbol
_atom_site_fract_x
_atom_site_fract_y
_atom_site_fract_z
_atom_site_occupancy
Cs1 Cs 0.000 0.000 0.000 1
Zn1 Zn 0.500 0.500 0.500 1
As1 As 0.000 0.500 0.500 1
Se1 Se 0.500 0.500 0.000 1

***

(7)
# MnAgRh2, relaxed, DFT GGA-PBE
# ΔH_f (0 K) in eV per atom: 0.13
# Relative energy among the computed polymorphs in meV per atom: 90.5
data_MnAgRh2
_chemical_formula_sum 'Mn2 Ag2 Rh4'
_cell_length_a 3.913
_cell_length_b 3.913
_cell_length_c 7.833
_cell_angle_alpha 90.00
_cell_angle_beta 90.00
_cell_angle_gamma 90.00
_space_group_name_H-M_alt 'I -4 m 2'
_space_group_IT_number 119
_space_group_name_Hall 'I -4 -2'
loop_
_atom_site_label
_atom_site_type_symbol
_atom_site_fract_x
_atom_site_fract_y
_atom_site_fract_z
_atom_site_occupancy
Mn1 Mn 0.000 0.000 0.000 1
Ag1 Ag 0.000 0.500 0.250 1
Rh1 Rh 0.000 0.000 0.500 1
Rh2 Rh 0.000 0.500 0.750 1

***

(8)
# MnNb2Ni2, relaxed, DFT GGA-PBE
# ΔH_f (0 K) in eV per atom: -0.04
data_MnNb2Ni2
_chemical_formula_sum 'Mn2 Nb4 Ni4'
_cell_length_a 6.613
_cell_length_b 6.613
_cell_length_c 3.342
_cell_angle_alpha 90.00
_cell_angle_beta 90.00
_cell_angle_gamma 90.00
_space_group_name_H-M_alt 'P 4/m b m'
_space_group_IT_number 127
_space_group_name_Hall '-P 4 2ab'
loop_
_atom_site_label
_atom_site_type_symbol
_atom_site_fract_x
_atom_site_fract_y
_atom_site_fract_z
_atom_site_occupancy
Mn1 Mn 0.000 0.000 0.000 1
Nb1 Nb 0.176 0.324 0.500 1
Ni1 Ni 0.127 0.627 0.000 1

***

(9)
# CeNdPb2, relaxed, DFT GGA-PBE
# ΔH_f (0 K) in eV per atom: -0.45
data_CeNdPb2
_chemical_formula_sum 'Ce1 Nd1 Pb2'
_cell_length_a 5.130
_cell_length_b 5.130
_cell_length_c 4.566
_cell_angle_alpha 90.00
_cell_angle_beta 90.00
_cell_angle_gamma 90.00
_space_group_name_H-M_alt 'P 4/m m m'
_space_group_IT_number 123
_space_group_name_Hall '-P 4 2'
loop_
_atom_site_label
_atom_site_type_symbol
_atom_site_fract_x
_atom_site_fract_y
_atom_site_fract_z
_atom_site_occupancy
Ce1 Ce 0.000 0.000 0.000 1
Nd1 Nd 0.500 0.500 0.000 1
Pb1 Pb 0.000 0.500 0.500 1

***

(10)
# AcAu3, relaxed, DFT GGA-PBE
# ΔH_f (0 K) in eV per atom: -0.30
data_AcAu3
_chemical_formula_sum 'Ac2 Au6'
_cell_length_a 4.285
_cell_length_b 4.285
_cell_length_c 11.808
_cell_angle_alpha 90.00
_cell_angle_beta 90.00
_cell_angle_gamma 90.00
_space_group_name_H-M_alt 'I 4/m m m'
_space_group_IT_number 139
_space_group_name_Hall '-I 4 2'
loop_
_atom_site_label
_atom_site_type_symbol
_atom_site_fract_x
_atom_site_fract_y
_atom_site_fract_z
_atom_site_occupancy
Ac1 Ac 0.000 0.000 0.000 1
Au1 Au 0.000 0.000 0.266 1
Au2 Au 0.000 0.000 0.500 1

***

(11)
# AlTlHgOs2, relaxed, DFT GGA-PBE
# ΔH_f (0 K) in eV per atom: 1.53
data_AlTlHgOs2
_chemical_formula_sum 'Al1 Tl1 Hg1 Os2'
_cell_length_a 4.612
_cell_length_b 4.612
_cell_length_c 5.096
_cell_angle_alpha 90.00
_cell_angle_beta 90.00
_cell_angle_gamma 90.00
_space_group_name_H-M_alt 'P 4/m m m'
_space_group_IT_number 123
_space_group_name_Hall '-P 4 2'
loop_
_atom_site_label
_atom_site_type_symbol
_atom_site_fract_x
_atom_site_fract_y
_atom_site_fract_z
_atom_site_occupancy
Al1 Al 0.000 0.000 0.000 1
Tl1 Tl 0.000 0.000 0.500 1
Hg1 Hg 0.500 0.500 0.500 1
Os1 Os 0.000 0.500 0.000 1

***

(12)
# RbSnHg2, relaxed, DFT GGA-PBE
# ΔH_f (0 K) in eV per atom: -0.09
data_RbSnHg2
_chemical_formula_sum 'Rb1 Sn1 Hg2'
_cell_length_a 3.770
_cell_length_b 3.770
_cell_length_c 8.877
_cell_angle_alpha 90.00
_cell_angle_beta 90.00
_cell_angle_gamma 90.00
_space_group_name_H-M_alt 'P 4/m m m'
_space_group_IT_number 123
_space_group_name_Hall '-P 4 2'
loop_
_atom_site_label
_atom_site_type_symbol
_atom_site_fract_x
_atom_site_fract_y
_atom_site_fract_z
_atom_site_occupancy
Rb1 Rb 0.000 0.000 0.000 1
Sn1 Sn 0.000 0.000 0.500 1
Hg1 Hg 0.500 0.500 0.285 1

***

Uncorrected energy across the listed records, respectively: -58.79; -96.14; -59.81; -60.27; -156.22; -14.14; -52.37; -82.15; -19.94; -30.32; -21.24; -5.93 eV for the cell shown.